Compound: YMnNF2
Source: Alexandria via LeMat-Bulk
Functional: GGA+U
Structure: relaxed

a b c (Å): 4.283 4.283 4.696
angles (deg): 90.00 90.00 90.00
Each line ends with the local moment (μB).
Fractional positions:
Y (0.000, 0.000, 0.000)  0.01
N (0.000, 0.000, 0.500)  0.03
Mn (0.500, 0.500, 0.500)  4.77
F (0.000, 0.500, 0.000)  0.02
F (0.500, 0.000, 0.000)  0.02

Calculated values
Symmetry   No. 123
Total moment   5.2 μB per cell
Energy above the lowest structure with this stoichiometry   0.14 eV per formula unit